The following is a DFT calculation (PBE) of a relaxed structure of LiFe2Os.

CIF file:
```
data_LiFe2Os
_chemical_formula_sum 'Li1 Fe2 Os1'
_symmetry_space_group_name_H-M 'P 1'
_symmetry_Int_Tables_number 1
_cell_length_a 8.9667
_cell_length_b 8.9667
_cell_length_c 8.9667
_cell_angle_alpha 16.88
_cell_angle_beta 16.88
_cell_angle_gamma 16.88
loop_
_symmetry_equiv_pos_as_xyz
'x,y,z'
loop_
_atom_site_label
_atom_site_type_symbol
_atom_site_fract_x
_atom_site_fract_y
_atom_site_fract_z
Li1 Li 0.2500 0.2500 0.2500
Fe1 Fe 0.0026 0.0026 0.0026
Fe2 Fe 0.4974 0.4974 0.4974
Os1 Os 0.7500 0.7500 0.7500
```

Results
The density of states at the Fermi level comes out at 4.0 states/eV per cell. As for the formation energy: 5.8 kcal/mol of atoms. Its energy is -29.06 eV/cell. As for the space group: R-3m, No. 166. As for the crystal system: trigonal.